Record 1
The following is a PBE-GGA calculation of an optimized crystal structure of Ni2SbTe, from Alexandria.

Calculated values
Size of the total moment ... 0.0000 μB/atom
SG ... Fm-3m
Formation energy from raw total energies ... 0.181 eV per atom

Geometry as POSCAR:
```
Ni2SbTe
1.0
0.0000 3.2865 3.2865
3.2865 0.0000 3.2865
3.2865 3.2865 0.0000
Ni Sb Te
2 1 1
direct
0.2500 0.2500 0.2500
0.7500 0.7500 0.7500
0.0000 0.0000 0.0000
0.5000 0.5000 0.5000
```



Record 2
The following is a PBE-GGA calculation of an optimized crystal structure of Ni2SbTe, from Alexandria.

Calculated values
Size of the total moment ... 0.0000 μB/atom
SG ... Pbcm
Formation energy from raw total energies ... -0.225 eV per atom

Geometry as POSCAR:
```
Ni2SbTe
1.0
8.0238 0.0000 0.0000
0.0000 6.9264 0.0000
0.0000 0.0000 5.2070
Ni Sb Te
8 4 4
direct
0.1258 0.2500 0.0000
0.1258 0.2500 0.5000
0.3725 0.7500 0.0000
0.3725 0.7500 0.5000
0.6275 0.2500 0.0000
0.6275 0.2500 0.5000
0.8742 0.7500 0.0000
0.8742 0.7500 0.5000
0.1212 0.5856 0.2500
0.1212 0.9144 0.7500
0.8788 0.0856 0.2500
0.8788 0.4144 0.7500
0.3726 0.0805 0.2500
0.3726 0.4195 0.7500
0.6274 0.5805 0.2500
0.6274 0.9195 0.7500
```



Please write out number 1 again, unchanged.
The following is a PBE-GGA calculation of an optimized crystal structure of Ni2SbTe, from Alexandria.

Calculated values
Size of the total moment ... 0.0000 μB/atom
SG ... Fm-3m
Formation energy from raw total energies ... 0.181 eV per atom

Geometry as POSCAR:
```
Ni2SbTe
1.0
0.0000 3.2865 3.2865
3.2865 0.0000 3.2865
3.2865 3.2865 0.0000
Ni Sb Te
2 1 1
direct
0.2500 0.2500 0.2500
0.7500 0.7500 0.7500
0.0000 0.0000 0.0000
0.5000 0.5000 0.5000
```



Question: Look up the size of the total moment of the first one.
Answer: 0.0000 μB/atom



Question: Which value of size of the total moment does entry 1 give?
Answer: 0.0000 μB/atom